Entry 1:
{"formula": "ZrIr2Os", "functional": "PBE", "state": "optimized geometry", "lattice": [[-4.142, -1.154, -2.334], [-1.931, -4.041, 1.968], [1.572, 4.182, 1.999]], "species": ["Os", "Zr", "Ir", "Ir"], "fractional_positions": [[0.750, 0.250, 0.500], [0.250, 0.750, 0.500], [0.500, 0.500, 0.000], [0.000, 0.000, 0.000]], "formation_enthalpy_0k_mev_per_atom": -385}


Entry 2:
{"formula": "Dy2NpPaAs4", "functional": "PBE", "state": "optimized geometry", "lattice": [[4.107, 0.000, 0.000], [0.000, 7.095, 0.115], [0.000, -2.487, 6.692]], "species": ["As", "As", "As", "As", "Np", "Dy", "Dy", "Pa"], "fractional_positions": [[0.500, 0.749, 0.752], [0.000, 0.748, 0.249], [0.500, 0.251, 0.248], [0.000, 0.252, 0.751], [0.000, 0.000, 0.000], [0.000, 0.500, 0.500], [0.500, 0.000, 0.500], [0.500, 0.500, 0.000]], "formation_enthalpy_0k_mev_per_atom": -1205}


Entry 3:
{"formula": "RbTaHg", "functional": "PBE", "state": "optimized geometry", "lattice": [[8.034, 0.000, 0.000], [0.000, 4.761, 0.000], [0.000, 0.000, 9.571]], "species": ["Hg", "Hg", "Hg", "Hg", "Rb", "Rb", "Rb", "Rb", "Ta", "Ta", "Ta", "Ta"], "fractional_positions": [[0.246, 0.750, 0.699], [0.254, 0.250, 0.199], [0.746, 0.750, 0.801], [0.754, 0.250, 0.301], [0.455, 0.750, 0.368], [0.045, 0.250, 0.868], [0.545, 0.250, 0.632], [0.955, 0.750, 0.132], [0.547, 0.250, 0.040], [0.953, 0.750, 0.540], [0.047, 0.250, 0.460], [0.453, 0.750, 0.960]], "formation_enthalpy_0k_mev_per_atom": 755}


Entry 4:
{"formula": "SmHo3Mg4", "functional": "PBE", "state": "optimized geometry", "lattice": [[-3.226, 0.200, 4.285], [-6.048, -0.560, -4.527], [0.394, -10.700, 0.797]], "species": ["Sm", "Sm", "Ho", "Ho", "Ho", "Ho", "Ho", "Ho", "Mg", "Mg", "Mg", "Mg", "Mg", "Mg", "Mg", "Mg"], "fractional_positions": [[0.000, 0.500, 0.000], [0.000, 0.500, 0.500], [0.501, 0.500, 0.750], [0.000, 0.000, 0.000], [0.501, 0.000, 0.750], [0.499, 0.500, 0.250], [0.000, 0.000, 0.500], [0.499, 0.000, 0.250], [0.001, 0.247, 0.750], [0.500, 0.753, 0.000], [0.999, 0.247, 0.250], [0.500, 0.753, 0.500], [0.500, 0.247, 0.500], [0.500, 0.247, 0.000], [0.001, 0.753, 0.750], [0.999, 0.753, 0.250]], "formation_enthalpy_0k_mev_per_atom": -81}


Entry 5:
{"formula": "CdHg", "functional": "PBE", "state": "optimized geometry", "lattice": [[5.794, 0.000, 0.000], [0.000, 5.794, 0.000], [0.000, 0.000, 5.794]], "species": ["Cd", "Cd", "Cd", "Cd", "Hg", "Hg", "Hg", "Hg"], "fractional_positions": [[0.599, 0.901, 0.099], [0.099, 0.599, 0.901], [0.401, 0.401, 0.401], [0.901, 0.099, 0.599], [0.406, 0.906, 0.594], [0.906, 0.594, 0.406], [0.094, 0.094, 0.094], [0.594, 0.406, 0.906]], "formation_enthalpy_0k_mev_per_atom": 33}


| no. | DOS at the Fermi energy (states/eV/f.u.) |
| --- | --- |
| 1 | 3.59 |
| 2 | 11.88 |
| 3 | 2.76 |
| 4 | 9.93 |
| 5 | 0.44 |